Crystalline SbAs2Au at its relaxed geometry. Source: Alexandria, functional GGA-PBE.

a = 5.8707 Å, b = 5.8707 Å, c = 5.8707 Å
α = 145.08°, β = 125.81°, γ = 66.10°
Fractional positions:
Sb 0.2994 0.7994 0.5000
As 0.9336 0.9336 0.0000
As 0.7404 0.2404 0.5000
Au 0.5265 0.5265 0.0000

Output
Formation energy without anion corrections   0.256 eV per atom

=====

Crystalline CoOs2Cl at its relaxed geometry. Source: Alexandria, functional GGA-PBE.

a = 5.1545 Å, b = 5.1545 Å, c = 5.1545 Å
α = 148.65°, β = 128.72°, γ = 61.35°
Last column: magnetic moment on the atom in μB.
Fractional positions:
Co 0.2612 0.7612 0.5000  1.40
Os 0.9950 0.9950 0.0000  0.27
Os 0.7420 0.2420 0.5000  0.22
Cl 0.5018 0.5018 0.0000  0.03

Output
Relative energy among the computed polymorphs   582.0 meV/atom
Formation energy without anion corrections   1.053 eV per atom

=====

Crystalline K3Pm3HoTe8 at its relaxed geometry. Source: Alexandria, functional GGA-PBE.

a = 8.9551 Å, b = 8.9596 Å, c = 9.9612 Å
α = 116.75°, β = 90.00°, γ = 119.98°
Fractional positions:
K 0.0000 0.0000 0.0000
K 0.0000 0.5000 0.0000
K 0.5000 0.5000 0.0000
Pm 0.5000 0.0000 0.5000
Pm 0.5000 0.5000 0.5000
Pm 0.0000 0.5000 0.5000
Ho 0.0000 0.0000 0.5000
Te 0.2618 0.5237 0.2856
Te 0.7382 0.4763 0.7144
Te 0.7664 0.5329 0.2909
Te 0.2336 0.4671 0.7091
Te 0.7664 0.0243 0.2908
Te 0.2336 0.9757 0.7092
Te 0.2579 0.0243 0.2908
Te 0.7421 0.9757 0.7092

Output
Formation energy without anion corrections   -1.326 eV per atom

=====

Crystalline Be2CoAs at its relaxed geometry. Source: Alexandria, functional GGA-PBE.

a = 3.8369 Å, b = 2.6959 Å, c = 4.3402 Å
α = 98.36°, β = 90.00°, γ = 90.00°
Fractional positions:
Be 0.0000 0.8859 0.0379
Be 0.0000 0.6141 0.4621
As 0.5000 0.7500 0.7500
Co 0.5000 0.2500 0.2500

Output
Energy relative to the elements   1.94 kcal/mol of atoms

=====

Crystalline SrRuPb2O8 at its relaxed geometry. Source: Alexandria, functional GGA-PBE.

a = 5.1273 Å, b = 4.9963 Å, c = 6.8625 Å
α = 90.00°, β = 90.00°, γ = 89.05°
Last column: magnetic moment on the atom in μB.
Fractional positions:
Sr 0.0000 0.0000 0.5000  0.00
Ru 0.0000 0.0000 0.0000  0.94
Pb 0.5000 0.5001 0.7535  0.01
Pb 0.5000 0.4999 0.2465  0.01
O 0.1618 0.7897 0.1976  0.13
O 0.6929 0.7400 0.0000  -0.01
O 0.8382 0.2104 0.1976  0.13
O 0.8382 0.2103 0.8024  0.13
O 0.3071 0.2600 0.0000  -0.01
O 0.1618 0.7896 0.8024  0.13
O 0.6375 0.7190 0.5000  0.02
O 0.3625 0.2810 0.5000  0.02

Output
Formation energy without anion corrections   -1.085 eV per atom

=====

Crystalline Na4Ce3BiS8 at its relaxed geometry. Source: Alexandria, functional GGA-PBE.

a = 8.2688 Å, b = 8.2095 Å, c = 8.2681 Å
α = 120.27°, β = 120.00°, γ = 90.00°
Last column: magnetic moment on the atom in μB.
Fractional positions:
Na 0.5000 0.0000 0.0000  0.00
Na 0.5000 0.0000 0.5000  0.00
Na 0.0000 0.0000 0.0000  0.00
Na 0.0000 0.0000 0.5000  0.00
Ce 0.5000 0.5000 0.0000  0.93
Ce 0.5000 0.5000 0.5000  0.93
Ce 0.0000 0.5000 0.5000  0.93
Bi 0.0000 0.5000 0.0000  0.03
S 0.2448 0.7340 0.9895  -0.01
S 0.2448 0.7340 0.4896  -0.01
S 0.2561 0.2686 0.5122  -0.02
S 0.7447 0.7340 0.9895  -0.01
S 0.2553 0.2660 0.0105  -0.01
S 0.7439 0.7314 0.4878  -0.02
S 0.7552 0.2660 0.5104  -0.01
S 0.7552 0.2660 0.0105  -0.01

Output
Formation energy without anion corrections   -1.486 eV per atom

=====

Crystalline Pr8ZnHg2 at its relaxed geometry. Source: Alexandria, functional GGA-PBE.

a = 5.3788 Å, b = 7.1313 Å, c = 9.8927 Å
α = 106.67°, β = 105.77°, γ = 90.00°
Fractional positions:
Pr 0.4095 0.5377 0.8190
Pr 0.6627 0.9844 0.3254
Pr 0.8000 0.6839 0.6000
Pr 0.9836 0.2253 0.9672
Pr 0.2000 0.3161 0.4000
Pr 0.3373 0.0156 0.6746
Pr 0.5905 0.4623 0.1810
Pr 0.0164 0.7747 0.0328
Zn 0.5000 0.0000 0.0000
Hg 0.8232 0.2694 0.6463
Hg 0.1768 0.7306 0.3537

Output
Relative energy among the computed polymorphs   17.5 meV/atom
Energy relative to the elements   -4.42 kcal/mol of atoms

=====

no.,DFT total energy (Ha/atom)
1,-0.1440
2,-0.2499
3,-0.1645
4,-0.1734
5,-0.2176
6,-0.1924
7,-0.1411